Record 1
The following is a DFT calculation (PBE) of a relaxed GdPaIr crystal.

E above lowest polymorph = 18.5 kJ per mole of atoms
energy of formation from the pure elements = -7.23 kcal/mol of atoms

Unit cell a=4.8076 b=4.8076 c=4.8076 alpha=60.00 beta=60.00 gamma=60.00
With the nearest neighbours (Å) after each atom.
Fractional positions:
Gd  0.0000  0.0000  0.0000  4 Ir 2.94
Pa  0.5000  0.5000  0.5000  4 Ir 2.94
Ir  0.7500  0.7500  0.7500  4 Gd 2.94, 4 Pa 2.94

=====

Record 2
The following is a DFT calculation (PBE) of a relaxed Tl2Bi2Cl crystal.

formation energy without anion corrections = -0.07 eV per atom

Unit cell a=9.7247 b=9.7247 c=3.5690 alpha=90.00 beta=90.00 gamma=90.00
With the nearest neighbours (Å) after each atom.
Fractional positions:
Tl  0.1846  0.3154  0.0000  6 Bi 3.33-3.46, 2 Cl 3.55, 2 Tl 3.57
Tl  0.3154  0.8154  0.0000  6 Bi 3.33-3.46, 2 Cl 3.55, 2 Tl 3.57
Tl  0.6846  0.1846  0.0000  6 Bi 3.33-3.46, 2 Cl 3.55, 2 Tl 3.57
Tl  0.8154  0.6846  0.0000  6 Bi 3.33-3.46, 2 Cl 3.55, 2 Tl 3.57
Bi  0.1113  0.6113  0.5000  1 Bi 3.06, 2 Tl 3.33
Bi  0.3887  0.1113  0.5000  1 Bi 3.06, 2 Tl 3.33
Bi  0.6113  0.8887  0.5000  1 Bi 3.06, 2 Tl 3.33
Bi  0.8887  0.3887  0.5000  1 Bi 3.06, 2 Tl 3.33
Cl  0.0000  0.0000  0.0000  4 Tl 3.55, 2 Cl 3.57
Cl  0.5000  0.5000  0.0000  4 Tl 3.55, 2 Cl 3.57

=====

Record 3
The following is a DFT calculation (PBE) of a relaxed Ti2H4Pd crystal.

Unit cell a=6.9408 b=6.9408 c=6.9408 alpha=155.69 beta=155.69 gamma=34.65
With the nearest neighbours (Å) after each atom.
Fractional positions:
Ti  0.1542  0.1542  0.0000  8 H 1.94-2.09
Ti  0.8458  0.8458  0.0000  8 H 1.94-2.09
H  0.2500  0.7500  0.5000  4 Ti 1.94, 8 H 2.07-2.14
H  0.3683  0.3683  0.0000  1 Pd 1.74
H  0.6317  0.6317  0.0000  1 Pd 1.74
H  0.7500  0.2500  0.5000  4 Ti 1.94, 8 H 2.07-2.14
Pd  0.5000  0.5000  0.0000  2 H 1.74

=====

Record 4
The following is a DFT calculation (PBE) of a relaxed NaCuAgF5 crystal.

formation energy without anion corrections = -1.68 eV per atom

Unit cell a=5.8091 b=5.8091 c=7.6286 alpha=98.75 beta=98.75 gamma=112.57
With the nearest neighbours (Å) after each atom.
Fractional positions:
Na  0.2060  0.7940  0.7500  5 F 2.31-2.44
Na  0.7940  0.2060  0.2500  5 F 2.31-2.44
Cu  0.5000  0.5000  0.0000  6 F 1.95-1.98
Cu  0.5000  0.5000  0.5000  6 F 1.95-1.98
Ag  0.1418  0.8582  0.2500  4 F 2.21-2.23
Ag  0.8582  0.1418  0.7500  4 F 2.21-2.23
F  0.1613  0.2140  0.4229  1 Cu 1.95
F  0.2140  0.1613  0.9229  1 Cu 1.95
F  0.2718  0.6674  0.0381  1 Cu 1.95
F  0.3326  0.7282  0.4619  1 Cu 1.95
F  0.4449  0.5551  0.7500  2 Cu 1.98
F  0.5551  0.4449  0.2500  2 Cu 1.98
F  0.6674  0.2718  0.5381  1 Cu 1.95
F  0.7282  0.3326  0.9619  1 Cu 1.95
F  0.7860  0.8387  0.0771  1 Cu 1.95
F  0.8387  0.7860  0.5771  1 Cu 1.95

=====

Record 5
The following is a DFT calculation (PBE) of a relaxed AcPrThTl crystal.

energy of formation from the pure elements = 1.91 kcal/mol of atoms

Unit cell a=5.7289 b=5.7289 c=5.7289 alpha=60.00 beta=60.00 gamma=60.00
With the nearest neighbours (Å) after each atom.
Fractional positions:
Ac  0.0000  0.0000  0.0000  4 Th 3.51, 4 Pr 3.51
Pr  0.2500  0.2500  0.2500  4 Tl 3.51, 4 Ac 3.51
Th  0.7500  0.7500  0.7500  4 Tl 3.51, 4 Ac 3.51
Tl  0.5000  0.5000  0.5000  4 Th 3.51, 4 Pr 3.51

=====

Record 6
The following is a DFT calculation (PBE) of a relaxed ZrReSi crystal.

formation energy without anion corrections = -0.36 eV per atom

Unit cell a=5.3441 b=5.3441 c=5.3441 alpha=145.07 beta=145.07 gamma=50.23
With the nearest neighbours (Å) after each atom.
Fractional positions:
Zr  0.0000  0.0000  0.0000  5 Re 2.93-2.98, 5 Si 2.95, 4 Zr 3.21
Re  0.3078  0.3078  0.0000  4 Si 2.52
Si  0.6950  0.6950  0.0000  4 Re 2.52

=====

Record 7
The following is a DFT calculation (PBE) of a relaxed Tl2GaHg2 crystal.

E above lowest polymorph = 17.8 kJ per mole of atoms
energy of formation from the pure elements = 4.64 kcal/mol of atoms

Unit cell a=8.2152 b=8.2152 c=8.2152 alpha=148.47 beta=148.47 gamma=45.20
With the nearest neighbours (Å) after each atom.
Fractional positions:
Tl  0.2500  0.7500  0.5000  4 Tl 3.16, 4 Hg 3.25
Tl  0.7500  0.2500  0.5000  4 Tl 3.16, 4 Hg 3.25
Ga  0.0000  0.0000  0.0000  8 Hg 3.46
Hg  0.4059  0.4059  0.0000  1 Hg 2.86
Hg  0.5941  0.5941  0.0000  1 Hg 2.86

=====

Record 8
The following is a DFT calculation (PBE) of a relaxed K2PbSeS crystal.

formation energy without anion corrections = -0.90 eV per atom

Unit cell a=9.1760 b=4.3957 c=9.5765 alpha=90.00 beta=103.70 gamma=90.00
With the nearest neighbours (Å) after each atom.
Fractional positions:
K  0.1364  0.2500  0.4017  3 S 3.11-3.23
K  0.2960  0.2500  0.9006  2 S 3.17, 3 Se 3.40
K  0.7040  0.7500  0.0994  2 S 3.17, 3 Se 3.40
K  0.8636  0.7500  0.5983  3 S 3.11-3.23
Pb  0.4901  0.7500  0.6421  1 S 2.59
Pb  0.5099  0.2500  0.3579  1 S 2.59
Se  0.3623  0.7500  0.1797  2 Pb 2.91
Se  0.6377  0.2500  0.8203  2 Pb 2.91
S  0.2113  0.7500  0.6563  1 Pb 2.59
S  0.7887  0.2500  0.3437  1 Pb 2.59

=====

Record 9
The following is a DFT calculation (PBE) of a relaxed ClF5 crystal.

formation energy without anion corrections = -0.50 eV per atom

Unit cell a=5.0283 b=5.0283 c=5.0283 alpha=99.31 beta=99.31 gamma=132.56
With the nearest neighbours (Å) after each atom.
Fractional positions:
Cl  0.0000  0.0000  0.0000  4 F 1.71
F  0.0524  0.2578  0.3102  1 Cl 1.71
F  0.2578  0.9476  0.2054  1 Cl 1.71
F  0.5000  0.5000  0.0000  2 Cl 2.02
F  0.7422  0.0524  0.7946  1 Cl 1.71
F  0.9476  0.7422  0.6898  1 Cl 1.71

=====

Record 10
The following is a DFT calculation (PBE) of a relaxed Tb4DyHo5 crystal.

E above lowest polymorph = 0.0 kJ per mole of atoms
energy of formation from the pure elements = 1.35 kcal/mol of atoms

Unit cell a=3.5378 b=6.7277 c=13.8612 alpha=97.91 beta=91.12 gamma=104.83
With the nearest neighbours (Å) after each atom.
Fractional positions:
Tb  0.1448  0.2120  0.3073  1 Dy 3.21, 4 Ho 3.42-3.55, 4 Tb 3.43-3.54
Tb  0.1557  0.3200  0.7128  1 Dy 3.43, 5 Tb 3.43-3.61, 6 Ho 3.48-3.81
Tb  0.8443  0.6800  0.2872  1 Dy 3.43, 5 Tb 3.43-3.61, 6 Ho 3.48-3.81
Tb  0.8552  0.7880  0.6927  1 Dy 3.21, 4 Ho 3.42-3.55, 4 Tb 3.43-3.54
Dy  0.0000  0.5000  0.5000  4 Tb 3.21-3.43, 2 Ho 3.38, 2 Dy 3.54
Ho  0.1938  0.3769  0.0840  3 Tb 3.42-3.67, 9 Ho 3.49-3.60
Ho  0.4730  0.9209  0.1143  8 Ho 3.47-3.60, 4 Tb 3.48-3.57
Ho  0.5000  0.0000  0.5000  2 Dy 3.38, 2 Ho 3.54, 6 Tb 3.55-3.76
Ho  0.5270  0.0791  0.8857  8 Ho 3.47-3.60, 4 Tb 3.48-3.57
Ho  0.8062  0.6231  0.9160  3 Tb 3.42-3.67, 9 Ho 3.49-3.60

=====

Record 11
The following is a DFT calculation (PBE) of a relaxed Sm7GeSe5 crystal.

formation energy without anion corrections = -1.54 eV per atom

Unit cell a=7.1035 b=7.1035 c=24.6176 alpha=90.01 beta=90.01 gamma=33.94
With the nearest neighbours (Å) after each atom.
Fractional positions:
Sm  0.0000  0.0000  0.0000  3 Se 2.91-2.97, 2 Ge 3.10
Sm  0.0000  0.0000  0.1380  3 Se 2.91-2.97, 2 Ge 3.10
Sm  0.1023  0.1023  0.7024  5 Se 2.94-3.13
Sm  0.1030  0.1030  0.4354  5 Se 2.94-3.12
Sm  0.2861  0.2861  0.2026  5 Se 2.94-3.12
Sm  0.2860  0.2860  0.9355  5 Se 2.94-3.13
Sm  0.3890  0.3890  0.5001  3 Se 2.91-2.97, 2 Ge 3.10
Sm  0.3885  0.3885  0.6380  3 Se 2.91-2.97, 2 Ge 3.10
Sm  0.5559  0.5559  0.2813  6 Se 2.87-2.95
Sm  0.5556  0.5556  0.8568  6 Se 2.87-2.95
Sm  0.6590  0.6590  0.5690  2 Se 2.87, 2 Ge 2.96
Sm  0.7298  0.7298  0.0690  2 Se 2.87, 2 Ge 2.96
Sm  0.8333  0.8333  0.3568  6 Se 2.87-2.95
Sm  0.8328  0.8328  0.7813  6 Se 2.87-2.95
Ge  0.0037  0.0037  0.5692  6 Sm 2.96-3.10
Ge  0.3851  0.3851  0.0690  6 Sm 2.96-3.10
Se  0.1942  0.1942  0.8190  6 Sm 2.95-3.13
Se  0.1946  0.1946  0.3190  6 Sm 2.95-3.12
Se  0.4714  0.4714  0.3912  6 Sm 2.91-2.95
Se  0.4709  0.4709  0.7469  6 Sm 2.91-2.95
Se  0.6415  0.6415  0.9633  6 Sm 2.87-2.97
Se  0.6416  0.6416  0.1747  6 Sm 2.87-2.97
Se  0.7470  0.7470  0.6748  6 Sm 2.87-2.97
Se  0.7475  0.7475  0.4633  6 Sm 2.87-2.97
Se  0.9178  0.9178  0.2469  6 Sm 2.91-2.95
Se  0.9175  0.9175  0.8911  6 Sm 2.91-2.95

=====

Record 12
The following is a DFT calculation (PBE) of a relaxed LiNi2W crystal.

energy of formation from the pure elements = 4.57 kcal/mol of atoms

Unit cell a=2.5791 b=3.9239 c=5.0010 alpha=90.00 beta=90.00 gamma=90.00
With the nearest neighbours (Å) after each atom.
Fractional positions:
Li  0.0000  0.0000  0.0000  6 Ni 2.40-2.60, 2 Li 2.58
Ni  0.0000  0.0000  0.4796  2 Li 2.40-2.60, 4 W 2.57, 2 Ni 2.58
Ni  0.5000  0.5000  0.1881  2 W 2.50, 4 Li 2.53, 6 Ni 2.58-2.76
W  0.5000  0.5000  0.6888  6 Ni 2.50-2.57, 2 W 2.58

=====

How do the records compare in electronic total energy? In the order shown, they have -11.126 -2.937 -5.301 -3.878 -4.586 -9.164 -1.471 -3.599 -2.368 -4.543 -5.781 -6.409 eV per atom.